No. 1
The following is a DFT calculation (GGA-PBE) of a relaxed Dy2AlSn2 crystal.

Structure (POSCAR):
```
Dy2AlSn2
1.0
0.000 5.862 9.473
2.552 0.000 9.473
2.552 5.862 0.000
Dy Al Sn
4 2 4
Direct
0.023 0.727 0.023 Dy
0.273 0.977 0.273 Dy
0.727 0.023 0.727 Dy
0.977 0.273 0.977 Dy
0.375 0.375 0.375 Al
0.625 0.625 0.625 Al
0.000 0.500 0.500 Sn
0.500 0.000 0.500 Sn
0.500 0.500 0.000 Sn
0.500 0.500 0.500 Sn
```

N(E_F)   2.38 states/eV/f.u.
Calculated formation energy   -148 meV/atom
Space group   Fddd

No. 2
The following is a DFT calculation (GGA-PBE) of a relaxed Ni2PtBr crystal.

Structure (POSCAR):
```
Ni2PtBr
1.0
-1.450 2.227 4.558
1.450 -2.227 4.558
1.450 2.227 -4.558
Ni Pt Br
2 1 1
Direct
0.000 0.000 0.000 Ni
0.775 0.275 0.500 Ni
0.264 0.764 0.500 Pt
0.547 0.547 0.000 Br
```

Formation energy from raw total energies   12.2 kcal/mol of atoms
N(E_F)   5.68 states/eV/f.u.
Space group   Imm2